1.
First-principles (PBE) data for an optimized crystal structure of ScGaSN2, as listed in Alexandria via LeMat-Bulk.

Unit cell a=4.0209 b=4.0209 c=5.4262 alpha=90.00 beta=90.00 gamma=90.00
Element x y z (fractional)
Sc 0.0000 0.0000 0.0000
Ga 0.5000 0.5000 0.5000
S 0.0000 0.0000 0.5000
N 0.0000 0.5000 0.0000
N 0.5000 0.0000 0.0000

## Properties
E_form (uncorrected): 0.55 eV per atom
Energy relative to the lowest polymorph listed for this composition: 0.2636 eV per atom

=====

2.
First-principles (PBE) data for an optimized crystal structure of Mg2SnIrPb, as listed in Alexandria via LeMat-Bulk.

Unit cell a=5.0780 b=5.0780 c=5.0527 alpha=90.00 beta=90.00 gamma=90.00
Element x y z (fractional)
Mg 0.0000 0.5000 0.0000
Mg 0.5000 0.0000 0.0000
Sn 0.0000 0.0000 0.5000
Ir 0.0000 0.0000 0.0000
Pb 0.5000 0.5000 0.5000

## Properties
DFT formation energy: -0.07 eV/atom

=====

3.
First-principles (PBE) data for an optimized crystal structure of TaSiAgGe2, as listed in Alexandria via LeMat-Bulk.

Unit cell a=4.6992 b=4.6992 c=4.6552 alpha=90.00 beta=90.00 gamma=90.00
Element x y z (fractional)
Ta 0.0000 0.0000 0.0000
Si 0.5000 0.5000 0.5000
Ag 0.5000 0.5000 0.0000
Ge 0.0000 0.5000 0.5000
Ge 0.5000 0.0000 0.5000

## Properties
E_form (uncorrected): 1.16 eV per atom

=====

| no. | V (Å³/f.u.) |
| --- | --- |
| 1 | 88 |
| 2 | 130 |
| 3 | 103 |